! ZnTe, PBEsol geometry, DFT meta-GGA SCAN; values from VASP
! - calculated volume (Å³/f.u.) = 50.22
! - mass density (g/cm³) = 6.4
! - E_form (uncorrected) (eV per atom) = -0.336
&SYSTEM
  ibrav = 0, nat = 6, ntyp = 2
/
ATOMIC_SPECIES
Te 127.60 Te.upf
Zn 65.41 Zn.upf
CELL_PARAMETERS angstrom
-2.659 3.277 -0.607
-0.207 -2.275 3.600
6.335 5.896 4.090
ATOMIC_POSITIONS crystal
Te 0.500 0.500 0.667
Te 0.000 0.500 0.333
Te 0.500 0.000 0.000
Zn 0.500 0.500 0.167
Zn 0.000 0.500 0.833
Zn 0.500 0.000 0.500

! Zr2CuF, PBEsol geometry, DFT meta-GGA SCAN; values from VASP
! - calculated volume (Å³/f.u.) = 63.00
! - mass density (g/cm³) = 7.0
! - E_form (uncorrected) (eV per atom) = -0.681
&SYSTEM
  ibrav = 0, nat = 4, ntyp = 3
/
ATOMIC_SPECIES
Cu 63.55 Cu.upf
Zr 91.22 Zr.upf
F 19.00 F.upf
CELL_PARAMETERS angstrom
-3.726 -1.662 -1.817
0.202 -3.651 -2.564
-1.675 -3.866 1.482
ATOMIC_POSITIONS crystal
Cu 0.500 0.500 0.500
Zr 0.250 0.250 0.250
Zr 0.750 0.750 0.750
F 0.000 0.000 0.000

! CsPd2Cl5, PBEsol geometry, DFT meta-GGA SCAN; values from VASP
! - calculated volume (Å³/f.u.) = 216.26
! - mass density (g/cm³) = 4.0
! - E_form (uncorrected) (eV per atom) = -1.035
&SYSTEM
  ibrav = 0, nat = 32, ntyp = 3
/
ATOMIC_SPECIES
Cs 132.91 Cs.upf
Pd 106.42 Pd.upf
Cl 35.45 Cl.upf
CELL_PARAMETERS angstrom
5.363 0.000 0.000
0.000 10.459 0.000
0.000 0.000 15.420
ATOMIC_POSITIONS crystal
Cs 0.410 0.250 0.738
Cs 0.910 0.750 0.762
Cs 0.590 0.750 0.262
Cs 0.090 0.250 0.238
Pd 0.268 0.584 0.048
Pd 0.768 0.416 0.452
Pd 0.732 0.084 0.952
Pd 0.232 0.916 0.548
Pd 0.732 0.416 0.952
Pd 0.232 0.584 0.548
Pd 0.268 0.916 0.048
Pd 0.768 0.084 0.452
Cl 0.470 0.582 0.915
Cl 0.970 0.418 0.585
Cl 0.530 0.082 0.085
Cl 0.030 0.918 0.415
Cl 0.530 0.418 0.085
Cl 0.030 0.582 0.415
Cl 0.470 0.918 0.915
Cl 0.970 0.082 0.585
Cl 0.091 0.572 0.181
Cl 0.591 0.428 0.319
Cl 0.909 0.072 0.819
Cl 0.409 0.928 0.681
Cl 0.981 0.250 0.991
Cl 0.481 0.750 0.509
Cl 0.019 0.750 0.009
Cl 0.519 0.250 0.491
Cl 0.591 0.072 0.319
Cl 0.091 0.928 0.181
Cl 0.409 0.572 0.681
Cl 0.909 0.428 0.819

! YCoAg4, PBEsol geometry, DFT meta-GGA SCAN; values from VASP
! - calculated volume (Å³/f.u.) = 108.09
! - mass density (g/cm³) = 8.9
! - E_form (meV/atom) = 36
&SYSTEM
  ibrav = 0, nat = 6, ntyp = 3
/
ATOMIC_SPECIES
Ag 107.87 Ag.upf
Co 58.93 Co.upf
Y 88.91 Y.upf
CELL_PARAMETERS angstrom
5.347 0.000 0.000
2.673 4.631 0.000
2.673 1.544 4.366
ATOMIC_POSITIONS crystal
Ag 0.376 0.376 0.376
Ag 0.376 0.376 0.873
Ag 0.873 0.376 0.376
Ag 0.376 0.873 0.376
Co 0.750 0.750 0.750
Y 0.000 0.000 0.000

! LaZn2Tc, PBEsol geometry, DFT meta-GGA SCAN; values from VASP
! - calculated volume (Å³/f.u.) = 73.23
! - excess energy over the best structure of this formula in the dataset (meV/atom) = 0
! - mass density (g/cm³) = 8.3
! - E_form (meV/atom) = 68
&SYSTEM
  ibrav = 0, nat = 4, ntyp = 3
/
ATOMIC_SPECIES
La 138.91 La.upf
Tc 98.00 Tc.upf
Zn 65.41 Zn.upf
CELL_PARAMETERS angstrom
-2.636 1.835 -1.694
-2.580 -0.274 3.716
4.326 3.050 0.465
ATOMIC_POSITIONS crystal
La 0.500 0.000 0.000
Tc 0.000 0.500 0.000
Zn 0.726 0.726 0.453
Zn 0.274 0.274 0.547

! Ta2IrRu, PBEsol geometry, DFT meta-GGA SCAN; values from VASP
! - calculated volume (Å³/f.u.) = 63.12
! - mass density (g/cm³) = 17.2
! - E_form (meV/atom) = -537
&SYSTEM
  ibrav = 0, nat = 4, ntyp = 3
/
ATOMIC_SPECIES
Ru 101.07 Ru.upf
Ir 192.22 Ir.upf
Ta 180.95 Ta.upf
CELL_PARAMETERS angstrom
2.904 0.000 0.016
0.000 4.495 0.000
-0.687 0.000 4.832
ATOMIC_POSITIONS crystal
Ru 0.420 0.500 0.817
Ir 0.332 0.000 0.442
Ta 0.957 0.000 0.921
Ta 0.791 0.500 0.320

! HoSiNi, PBEsol geometry, DFT meta-GGA SCAN; values from VASP
! - calculated volume (Å³/f.u.) = 48.66
! - mass density (g/cm³) = 8.6
! - E_form (uncorrected) (eV per atom) = -0.855
&SYSTEM
  ibrav = 0, nat = 12, ntyp = 3
/
ATOMIC_SPECIES
Ni 58.69 Ni.upf
Si 28.09 Si.upf
Ho 164.93 Ho.upf
CELL_PARAMETERS angstrom
-3.358 -0.742 -2.240
3.468 -4.428 -3.731
-1.813 -5.148 4.424
ATOMIC_POSITIONS crystal
Ni 0.750 0.313 0.917
Ni 0.250 0.687 0.083
Ni 0.750 0.813 0.583
Ni 0.250 0.187 0.417
Si 0.750 0.689 0.912
Si 0.250 0.311 0.088
Si 0.750 0.189 0.588
Si 0.250 0.811 0.412
Ho 0.250 0.990 0.801
Ho 0.750 0.010 0.199
Ho 0.250 0.490 0.699
Ho 0.750 0.510 0.301

! Ba2ZrFe, PBEsol geometry, DFT meta-GGA SCAN; values from VASP
! - calculated volume (Å³/f.u.) = 111.36
! - mass density (g/cm³) = 6.3
! - E_form (meV/atom) = 947
&SYSTEM
  ibrav = 0, nat = 4, ntyp = 3
/
ATOMIC_SPECIES
Ba 137.33 Ba.upf
Fe 55.84 Fe.upf
Zr 91.22 Zr.upf
CELL_PARAMETERS angstrom
4.524 0.000 0.000
0.000 4.524 0.000
0.000 0.000 5.440
ATOMIC_POSITIONS crystal
Ba 0.000 0.500 0.000
Ba 0.500 0.000 0.000
Fe 0.500 0.500 0.500
Zr 0.000 0.000 0.500

! CoSeBr2, PBEsol geometry, DFT meta-GGA SCAN; values from VASP
! - calculated volume (Å³/f.u.) = 89.76
! - mass density (g/cm³) = 5.5
! - E_form (uncorrected) (eV per atom) = 0.249
&SYSTEM
  ibrav = 0, nat = 4, ntyp = 3
/
ATOMIC_SPECIES
Br 79.90 Br.upf
Co 58.93 Co.upf
Se 78.96 Se.upf
CELL_PARAMETERS angstrom
-1.639 0.191 -2.534
-1.846 -2.162 1.031
-5.670 6.833 4.182
ATOMIC_POSITIONS crystal
Br 0.000 0.000 0.838
Br 0.000 0.000 0.162
Co 0.500 0.500 0.000
Se 0.500 0.500 0.500

! HgC3, PBEsol geometry, DFT meta-GGA SCAN; values from VASP
! - calculated volume (Å³/f.u.) = 56.41
! - excess energy over the best structure of this formula in the dataset (meV/atom) = 0
! - mass density (g/cm³) = 7.0
! - E_form (meV/atom) = 746
&SYSTEM
  ibrav = 0, nat = 4, ntyp = 2
/
ATOMIC_SPECIES
C 12.01 C.upf
Hg 200.59 Hg.upf
CELL_PARAMETERS angstrom
-0.210 1.750 -1.820
-3.198 -0.452 -1.830
-3.580 4.555 3.029
ATOMIC_POSITIONS crystal
C 0.500 0.500 0.500
C 0.696 0.109 0.500
C 0.304 0.891 0.500
Hg 0.000 0.000 0.000

! Sr2Al, PBEsol geometry, DFT meta-GGA SCAN; values from VASP
! - calculated volume (Å³/f.u.) = 122.45
! - mass density (g/cm³) = 2.7
! - E_form (meV/atom) = -3
&SYSTEM
  ibrav = 0, nat = 3, ntyp = 2
/
ATOMIC_SPECIES
Sr 87.62 Sr.upf
Al 26.98 Al.upf
CELL_PARAMETERS angstrom
-0.871 5.090 -2.098
-4.758 1.136 -2.671
-3.773 3.370 2.339
ATOMIC_POSITIONS crystal
Sr 0.750 0.750 0.750
Sr 0.250 0.250 0.250
Al 0.000 0.000 0.000

! MnHI2O, PBEsol geometry, DFT meta-GGA SCAN; values from VASP
! - calculated volume (Å³/f.u.) = 88.48
! - mass density (g/cm³) = 6.1
&SYSTEM
  ibrav = 0, nat = 5, ntyp = 4
/
ATOMIC_SPECIES
I 126.90 I.upf
H 1.01 H.upf
Mn 54.94 Mn.upf
O 16.00 O.upf
CELL_PARAMETERS angstrom
-2.463 -1.040 -1.063
2.168 0.080 -5.103
1.874 -5.170 0.715
ATOMIC_POSITIONS crystal
I 0.000 0.000 0.500
I 0.000 0.500 0.000
H 0.000 0.000 0.000
Mn 0.500 0.500 0.500
O 0.500 0.000 0.000

no.,E_tot (eV for the cell shown)
1,-154.3
2,-82.9
3,-606.1
4,-170.4
5,-104.9
6,-241.2
7,-311.0
8,-124.1
9,-75.3
10,-95.5
11,-52.3
12,-99.6